Na8Ag2Pd PBE optimized geometry; size of the total moment = 0.000 μB per atom; E = -1.9542 eV per atom; ρ = 2.9 g cm⁻³
1.0
-1.9693 -3.6830 2.6738
3.3826 -5.4494 -5.0148
5.1660 4.4206 5.2953
Na Ag Pd
8 2 1
direct
0.6506 0.8764 0.3012 Na
0.8563 0.8571 0.7126 Na
0.9997 0.7008 0.9994 Na
0.3494 0.1236 0.6988 Na
0.1437 0.1429 0.2874 Na
0.0003 0.2992 0.0006 Na
0.6510 0.4247 0.3020 Na
0.3490 0.5753 0.6980 Na
0.8066 0.3063 0.6132 Ag
0.1934 0.6937 0.3868 Ag
0.5000 0.0000 0.0000 Pd

NaAg7Pd4 PBE optimized geometry; size of the total moment = 0.000 μB per atom; E = -3.5493 eV per atom; ρ = 9.7 g cm⁻³
1.0
5.5086 1.2779 1.2388
4.1004 5.8554 2.7404
-0.2335 0.1554 7.6275
Na Ag Pd
1 7 4
direct
0.0000 0.0000 0.0000 Na
0.2474 0.4986 0.9988 Ag
0.2541 0.8298 0.6616 Ag
0.9981 0.6664 0.3379 Ag
0.5000 0.0000 0.0000 Ag
0.7459 0.1702 0.3384 Ag
0.7526 0.5014 0.0012 Ag
0.0019 0.3336 0.6621 Ag
0.5100 0.6603 0.3339 Pd
0.7447 0.8387 0.6685 Pd
0.4900 0.3397 0.6661 Pd
0.2553 0.1613 0.3315 Pd